No. 1
VASP calculation (PBE) on a relaxed structure of SmCd7Hg4.

POSCAR file:
```
SmCd7Hg4
1.0
5.9260 0.0000 0.0000
2.9630 8.7634 -0.4217
2.9630 -0.0889 5.9933
Hg Cd Sm
4 7 1
direct
0.2630 0.3258 0.1482
0.4287 0.7607 0.3818
0.5713 0.2393 0.6182
0.7370 0.6742 0.8518
0.3364 0.5724 0.7548
0.2205 0.0843 0.4747
0.5000 0.0000 0.0000
0.6636 0.4276 0.2452
0.7795 0.9157 0.5253
0.9412 0.3495 0.7682
0.0588 0.6505 0.2318
0.0000 0.0000 0.0000
```

Its energy is -0.991 eV per atom. The magnetic moment is 0.00 Bohr magnetons per cell. Its space-group type is C2/m.

---

No. 2
VASP calculation (PBE) on a relaxed structure of Cu2PtN.

POSCAR file:
```
Cu2PtN
1.0
7.0922 0.0000 0.0000
0.0000 7.0922 0.0000
3.5461 3.5461 2.0127
Cu Pt N
4 2 2
direct
0.8750 0.7747 0.7500
0.2253 0.6250 0.2500
0.3750 0.4753 0.7500
0.5247 0.1250 0.2500
0.0000 0.0000 0.0000
0.7500 0.2500 0.5000
0.5000 0.5000 0.0000
0.2500 0.7500 0.5000
```

The calculation puts the uncorrected formation energy at 0.557 eV per atom. The magnetic moment is 0.00 Bohr magnetons per cell. Its space-group type is I-42d.

---

No. 3
VASP calculation (PBE) on a relaxed structure of NdHo4Bi2.

POSCAR file:
```
NdHo4Bi2
1.0
8.0188 0.0000 -0.7316
0.0000 6.5718 0.0000
-3.6937 0.0000 8.5134
Nd Ho Bi
2 8 4
direct
0.7428 0.2500 0.6412
0.2572 0.7500 0.3588
0.4463 0.5047 0.7877
0.5537 0.0047 0.2123
0.5537 0.4953 0.2123
0.1163 0.7500 0.9201
0.4463 0.9953 0.7877
0.8837 0.2500 0.0799
0.9540 0.7500 0.4932
0.0460 0.2500 0.5068
0.6847 0.7500 0.6373
0.1860 0.2500 0.9157
0.3153 0.2500 0.3627
0.8140 0.7500 0.0843
```

Its energy is -4.789 eV per atom. The magnetic moment is 0.00 Bohr magnetons per cell. Its space-group type is P2_1/m.